1.
This record from the Alexandria database describes a geometry-optimized MgAlCl2 structure. The functional is PBE-GGA.

Output
Uncorrected formation energy in eV/f.u.: -3.06

```
data_MgAlCl2
_chemical_formula_sum 'Mg2 Al2 Cl4'
_symmetry_space_group_name_H-M 'C m m m'
_symmetry_Int_Tables_number 65
_symmetry_space_group_name_Hall '-C 2 2'
_cell_length_a 3.5871
_cell_length_b 5.6185
_cell_length_c 12.0389
_cell_angle_alpha 90.00
_cell_angle_beta 90.00
_cell_angle_gamma 90.00
loop_
_atom_site_label
_atom_site_type_symbol
_atom_site_fract_x
_atom_site_fract_y
_atom_site_fract_z
Mg1 Mg 0.0000 0.0000 0.0000
Al1 Al 0.0000 0.0000 0.5000
Cl1 Cl 0.0000 0.5000 0.1332
```

2.
This record from the Alexandria database describes a geometry-optimized MgAlCl2 structure. The functional is PBE-GGA.

Output
Uncorrected formation energy in eV/f.u.: -1.93

```
data_MgAlCl2
_chemical_formula_sum 'Mg3 Al3 Cl6'
_symmetry_space_group_name_H-M 'R -3 m'
_symmetry_Int_Tables_number 166
_symmetry_space_group_name_Hall '-R 3 2"'
_cell_length_a 3.7948
_cell_length_b 3.7948
_cell_length_c 26.5773
_cell_angle_alpha 90.00
_cell_angle_beta 90.00
_cell_angle_gamma 120.00
loop_
_atom_site_label
_atom_site_type_symbol
_atom_site_fract_x
_atom_site_fract_y
_atom_site_fract_z
Mg1 Mg 0.0000 0.0000 0.0000
Al1 Al 0.0000 0.0000 0.5000
Cl1 Cl 0.0000 0.0000 0.0906
```

3.
This record from the Alexandria database describes a geometry-optimized MgAl2Cl structure. The functional is PBE-GGA.

Output
Uncorrected formation energy in eV/f.u.: -0.24

```
data_MgAl2Cl
_chemical_formula_sum 'Mg2 Al4 Cl2'
_symmetry_space_group_name_H-M 'C m m m'
_symmetry_Int_Tables_number 65
_symmetry_space_group_name_Hall '-C 2 2'
_cell_length_a 3.1388
_cell_length_b 5.4465
_cell_length_c 9.3149
_cell_angle_alpha 90.00
_cell_angle_beta 90.00
_cell_angle_gamma 90.00
loop_
_atom_site_label
_atom_site_type_symbol
_atom_site_fract_x
_atom_site_fract_y
_atom_site_fract_z
Mg1 Mg 0.0000 0.0000 0.0000
Al1 Al 0.0000 0.5000 0.2675
Cl1 Cl 0.0000 0.0000 0.5000
```

4.
This record from the Alexandria database describes a geometry-optimized MgAlCl2 structure. The functional is PBE-GGA.

Output
Uncorrected formation energy in eV/f.u.: -2.26

```
data_MgAlCl2
_chemical_formula_sum 'Mg2 Al2 Cl4'
_symmetry_space_group_name_H-M 'I 4/m m m'
_symmetry_Int_Tables_number 139
_symmetry_space_group_name_Hall '-I 4 2'
_cell_length_a 5.4451
_cell_length_b 5.4451
_cell_length_c 6.4678
_cell_angle_alpha 90.00
_cell_angle_beta 90.00
_cell_angle_gamma 90.00
loop_
_atom_site_label
_atom_site_type_symbol
_atom_site_fract_x
_atom_site_fract_y
_atom_site_fract_z
Mg1 Mg 0.0000 0.0000 0.0000
Al1 Al 0.0000 0.0000 0.5000
Cl1 Cl 0.0000 0.5000 0.0000
```

5.
This record from the Alexandria database describes a geometry-optimized MgAl2Cl8 structure. The functional is PBE-GGA.

Output
Uncorrected formation energy in eV/f.u.: -17.81

```
data_MgAl2Cl8
_chemical_formula_sum 'Mg4 Al8 Cl32'
_symmetry_space_group_name_H-M 'C 1 2/c 1'
_symmetry_Int_Tables_number 15
_symmetry_space_group_name_Hall '-C 2yc'
_cell_length_a 17.8121
_cell_length_b 8.7610
_cell_length_c 11.7266
_cell_angle_alpha 90.00
_cell_angle_beta 127.58
_cell_angle_gamma 90.00
loop_
_atom_site_label
_atom_site_type_symbol
_atom_site_fract_x
_atom_site_fract_y
_atom_site_fract_z
Mg1 Mg 0.0000 0.0122 0.2500
Al1 Al 0.0823 0.2359 0.5322
Cl1 Cl 0.0612 0.2159 0.1692
Cl2 Cl 0.0822 0.2035 0.7171
Cl3 Cl 0.1465 0.0373 0.5071
Cl4 Cl 0.1498 0.4430 0.5557
```

6.
This record from the Alexandria database describes a geometry-optimized MgAl2Cl structure. The functional is PBE-GGA.

Output
Uncorrected formation energy in eV/f.u.: -0.51

```
data_MgAl2Cl
_chemical_formula_sum 'Mg2 Al4 Cl2'
_symmetry_space_group_name_H-M 'I m m 2'
_symmetry_Int_Tables_number 44
_symmetry_space_group_name_Hall 'I 2 -2'
_cell_length_a 3.1039
_cell_length_b 5.5231
_cell_length_c 9.7591
_cell_angle_alpha 90.00
_cell_angle_beta 90.00
_cell_angle_gamma 90.00
loop_
_atom_site_label
_atom_site_type_symbol
_atom_site_fract_x
_atom_site_fract_y
_atom_site_fract_z
Mg1 Mg 0.0000 0.0000 0.0000
Al1 Al 0.0000 0.0000 0.5010
Al2 Al 0.0000 0.5000 0.7490
Cl1 Cl 0.0000 0.5000 0.2995
```

7.
This record from the Alexandria database describes a geometry-optimized MgAlCl2 structure. The functional is PBE-GGA.

Output
Uncorrected formation energy in eV/f.u.: -0.73

```
data_MgAlCl2
_chemical_formula_sum 'Mg4 Al4 Cl8'
_symmetry_space_group_name_H-M 'F -4 3 m'
_symmetry_Int_Tables_number 216
_symmetry_space_group_name_Hall 'F -4 2 3'
_cell_length_a 7.1747
_cell_length_b 7.1747
_cell_length_c 7.1747
_cell_angle_alpha 90.00
_cell_angle_beta 90.00
_cell_angle_gamma 90.00
loop_
_atom_site_label
_atom_site_type_symbol
_atom_site_fract_x
_atom_site_fract_y
_atom_site_fract_z
Mg1 Mg 0.0000 0.0000 0.0000
Al1 Al 0.2500 0.2500 0.7500
Cl1 Cl 0.0000 0.0000 0.5000
Cl2 Cl 0.2500 0.2500 0.2500
```

8.
This record from the Alexandria database describes a geometry-optimized MgAl2Cl structure. The functional is PBE-GGA.

Output
Uncorrected formation energy in eV/f.u.: -1.25

```
data_MgAl2Cl
_chemical_formula_sum 'Mg2 Al4 Cl2'
_symmetry_space_group_name_H-M 'C m m 2'
_symmetry_Int_Tables_number 35
_symmetry_space_group_name_Hall 'C 2 -2'
_cell_length_a 4.1930
_cell_length_b 4.3714
_cell_length_c 10.0014
_cell_angle_alpha 90.00
_cell_angle_beta 90.00
_cell_angle_gamma 90.00
loop_
_atom_site_label
_atom_site_type_symbol
_atom_site_fract_x
_atom_site_fract_y
_atom_site_fract_z
Mg1 Mg 0.0000 0.0000 0.0000
Al1 Al 0.0000 0.0000 0.4309
Al2 Al 0.0000 0.5000 0.2241
Cl1 Cl 0.0000 0.5000 0.8543
```

9.
This record from the Alexandria database describes a geometry-optimized MgAl2Cl structure. The functional is PBE-GGA.

Output
Uncorrected formation energy in eV/f.u.: -0.44

```
data_MgAl2Cl
_chemical_formula_sum 'Mg1 Al2 Cl1'
_symmetry_space_group_name_H-M 'P m m m'
_symmetry_Int_Tables_number 47
_symmetry_space_group_name_Hall '-P 2 2'
_cell_length_a 3.2139
_cell_length_b 5.0839
_cell_length_c 5.1558
_cell_angle_alpha 90.00
_cell_angle_beta 90.00
_cell_angle_gamma 90.00
loop_
_atom_site_label
_atom_site_type_symbol
_atom_site_fract_x
_atom_site_fract_y
_atom_site_fract_z
Mg1 Mg 0.0000 0.0000 0.0000
Al1 Al 0.5000 0.5000 0.2437
Cl1 Cl 0.0000 0.0000 0.5000
```

10.
This record from the Alexandria database describes a geometry-optimized MgAlCl2 structure. The functional is PBE-GGA.

Output
Uncorrected formation energy in eV/f.u.: -2.46

```
data_MgAlCl2
_chemical_formula_sum 'Mg4 Al4 Cl8'
_symmetry_space_group_name_H-M 'I -4 2 d'
_symmetry_Int_Tables_number 122
_symmetry_space_group_name_Hall 'I -4 2bw'
_cell_length_a 7.0851
_cell_length_b 7.0851
_cell_length_c 10.4480
_cell_angle_alpha 90.00
_cell_angle_beta 90.00
_cell_angle_gamma 90.00
loop_
_atom_site_label
_atom_site_type_symbol
_atom_site_fract_x
_atom_site_fract_y
_atom_site_fract_z
Mg1 Mg 0.0000 0.0000 0.0000
Al1 Al 0.0000 0.0000 0.5000
Cl1 Cl 0.1231 0.2500 0.1250
```

11.
This record from the Alexandria database describes a geometry-optimized MgAl2Cl structure. The functional is PBE-GGA.

Output
Uncorrected formation energy in eV/f.u.: -0.34

```
data_MgAl2Cl
_chemical_formula_sum 'Mg3 Al6 Cl3'
_symmetry_space_group_name_H-M 'R -3 m'
_symmetry_Int_Tables_number 166
_symmetry_space_group_name_Hall '-R 3 2"'
_cell_length_a 3.1648
_cell_length_b 3.1648
_cell_length_c 27.0474
_cell_angle_alpha 90.00
_cell_angle_beta 90.00
_cell_angle_gamma 120.00
loop_
_atom_site_label
_atom_site_type_symbol
_atom_site_fract_x
_atom_site_fract_y
_atom_site_fract_z
Mg1 Mg 0.0000 0.0000 0.0000
Al1 Al 0.0000 0.0000 0.2457
Cl1 Cl 0.0000 0.0000 0.5000
```

12.
This record from the Alexandria database describes a geometry-optimized MgAl2Cl structure. The functional is PBE-GGA.

Output
Uncorrected formation energy in eV/f.u.: -0.36

```
data_MgAl2Cl
_chemical_formula_sum 'Mg4 Al8 Cl4'
_symmetry_space_group_name_H-M 'I -4 2 d'
_symmetry_Int_Tables_number 122
_symmetry_space_group_name_Hall 'I -4 2bw'
_cell_length_a 3.8040
_cell_length_b 3.8040
_cell_length_c 24.2375
_cell_angle_alpha 90.00
_cell_angle_beta 90.00
_cell_angle_gamma 90.00
loop_
_atom_site_label
_atom_site_type_symbol
_atom_site_fract_x
_atom_site_fract_y
_atom_site_fract_z
Mg1 Mg 0.0000 0.0000 0.0000
Al1 Al 0.2410 0.2500 0.1250
Cl1 Cl 0.0000 0.0000 0.5000
```